1.
DFT (PBE) results for an optimized crystal structure of SiAg2Pd.

The uncorrected formation energy comes out at 162.1 meV per atom. The value obtained for the magnetic moment is 0.0 μB per formula unit. The volume is 69.8 Å³/f.u.

The structure belongs to space group I-42d (No. 122); the cell edges are 7.341, 7.341 and 5.182 Å and the angles 90.00°, 90.00° and 90.00°. The asymmetric unit holds Si at (0.000, 0.000, 0.000), Ag at (0.216, 0.250, 0.125) and Pd at (0.000, 0.000, 0.500).



2.
DFT (PBE) results for an optimized crystal structure of LiTb2TmTe4.

The uncorrected formation energy comes out at -1297.3 meV per atom. The value obtained for the magnetic moment is 0.0 μB per formula unit. The volume is 228.8 Å³/f.u.

The structure belongs to space group P2/m (No. 10); the cell edges are 7.483, 4.303 and 7.521 Å and the angles 90.00°, 109.11° and 90.00°. The asymmetric unit holds Li at (0.000, 0.000, 0.000), Tb at (0.000, 0.500, 0.500), Tb at (0.500, 0.000, 0.500), Tm at (0.500, 0.500, 0.000), Te at (0.242, 0.500, 0.238) and Te at (0.248, 0.000, 0.760).



3.
DFT (PBE) results for an optimized crystal structure of Hf2CdSn.

The energy above the most stable polymorph in this dataset comes out at 0.363 eV per atom. The value obtained for the magnetic moment is 0.0 μB per formula unit. The calculated formation energy comes out at 0.1994 eV per atom. The volume is 93.7 Å³/f.u.

The structure belongs to space group I-42d (No. 122); the cell edges are 7.880, 7.880 and 6.038 Å and the angles 90.00°, 90.00° and 90.00°. The asymmetric unit holds Hf at (0.250, 0.250, 0.125), Cd at (0.000, 0.000, 0.000) and Sn at (0.000, 0.000, 0.500).



Q: magnetic moment of number 1 (SiAg2Pd)?
A: 0.0 μB per formula unit



Q: magnetic moment of number 1 (SiAg2Pd)?
A: 0.0 μB per formula unit